Record 1
## Ba6RhN (PBE)

Data for a relaxed Ba6RhN crystal.

a = 7.784 Å, b = 7.784 Å, c = 7.539 Å
α = 99.31°, β = 99.31°, γ = 121.73°
Atoms (fractional coordinates):
Ba (0.083, 0.368, 0.237)
Ba (0.241, 0.241, 0.771)
Ba (0.368, 0.083, 0.237)
Ba (0.632, 0.917, 0.763)
Ba (0.759, 0.759, 0.229)
Ba (0.917, 0.632, 0.763)
Rh (0.500, 0.500, 0.500)
N (0.000, 0.000, 0.000)

Summary:
N(E_F) = 0.969 states/eV per atom
Energy relative to the elements, uncorrected = -0.188 eV per atom



Record 2
## RbTh2IrO8 (PBE)

Data for a relaxed RbTh2IrO8 crystal.

a = 5.083 Å, b = 5.358 Å, c = 7.287 Å
α = 85.18°, β = 70.68°, γ = 79.55°
Atoms (fractional coordinates):
Rb (0.000, 0.000, 0.000)
Th (0.376, 0.464, 0.278)
Th (0.624, 0.536, 0.722)
Ir (0.000, 0.000, 0.500)
O (0.090, 0.282, 0.606)
O (0.267, 0.488, 0.995)
O (0.275, 0.745, 0.579)
O (0.305, 0.042, 0.261)
O (0.695, 0.958, 0.739)
O (0.725, 0.255, 0.421)
O (0.733, 0.512, 0.005)
O (0.910, 0.718, 0.394)

Summary:
N(E_F) = 0.363 states/eV per atom
Energy relative to the elements, uncorrected = -2.142 eV per atom



Record 3
## Rb2TiAlCl6 (PBE)

Data for a relaxed Rb2TiAlCl6 crystal.

a = 7.482 Å, b = 7.482 Å, c = 7.482 Å
α = 60.00°, β = 60.00°, γ = 60.00°
Atoms (fractional coordinates):
Rb (0.250, 0.250, 0.250)
Rb (0.750, 0.750, 0.750)
Ti (0.000, 0.000, 0.000)
Al (0.500, 0.500, 0.500)
Cl (0.231, 0.231, 0.769)
Cl (0.231, 0.769, 0.231)
Cl (0.231, 0.769, 0.769)
Cl (0.769, 0.231, 0.231)
Cl (0.769, 0.231, 0.769)
Cl (0.769, 0.769, 0.231)

Summary:
N(E_F) = 1.614 states/eV per atom
Energy relative to the elements, uncorrected = -1.494 eV per atom